1.
A relaxed structure of Rb2LaTaNb, computed with PBE.

It has space group P4/mmm (No. 123), with a = 6.506 Å, b = 6.506 Å, c = 5.520 Å, α = 90.00°, β = 90.00° and γ = 90.00°. The inequivalent atoms are Rb at (0.000, 0.500, 0.000), La at (0.000, 0.000, 0.500), Ta at (0.000, 0.000, 0.000) and Nb at (0.500, 0.500, 0.500).

The value obtained for the theoretical density is 4.15 g/cm³. The calculation puts the energy relative to the elements at 10.54 eV/f.u.

***

2.
A relaxed structure of RbLa2YNb, computed with PBE.

It has space group P4/mmm (No. 123), with a = 6.191 Å, b = 6.191 Å, c = 5.245 Å, α = 90.00°, β = 90.00° and γ = 90.00°. The inequivalent atoms are Rb at (0.000, 0.000, 0.000), La at (0.000, 0.500, 0.500), Y at (0.500, 0.500, 0.500) and Nb at (0.500, 0.500, 0.000).

The value obtained for the theoretical density is 4.50 g/cm³. The calculation puts the energy relative to the elements at 5.38 eV/f.u.

***

3.
A relaxed structure of RbLaZrNb2, computed with PBE.

It has space group P4/mmm (No. 123), with a = 5.202 Å, b = 5.202 Å, c = 5.959 Å, α = 90.00°, β = 90.00° and γ = 90.00°. The inequivalent atoms are Rb at (0.000, 0.000, 0.000), La at (0.500, 0.500, 0.000), Zr at (0.500, 0.500, 0.500) and Nb at (0.000, 0.500, 0.500).

The value obtained for the theoretical density is 5.16 g/cm³. The calculation puts the energy relative to the elements at 6.74 eV/f.u.

***

4.
A relaxed structure of La2NbRe2, computed with PBE.

It has space group P4/mbm (No. 127), with a = 6.794 Å, b = 6.794 Å, c = 5.129 Å, α = 90.00°, β = 90.00° and γ = 90.00°. The inequivalent atoms are La at (0.178, 0.322, 0.000), Nb at (0.000, 0.000, 0.500) and Re at (0.127, 0.627, 0.500).

The value obtained for the theoretical density is 10.42 g/cm³. The calculation puts the energy relative to the elements at 1.48 eV/f.u.

***

5.
A relaxed structure of LaNbRe2Rh, computed with PBE.

It has space group P4/mmm (No. 123), with a = 4.717 Å, b = 4.717 Å, c = 5.383 Å, α = 90.00°, β = 90.00° and γ = 90.00°. The inequivalent atoms are La at (0.000, 0.000, 0.000), Nb at (0.000, 0.000, 0.500), Re at (0.000, 0.500, 0.500) and Rh at (0.500, 0.500, 0.000).

The value obtained for the theoretical density is 9.80 g/cm³. The calculation puts the energy relative to the elements at 8.95 eV/f.u.

***

6.
A relaxed structure of LaNbRe2Te, computed with PBE.

It has space group P4/mmm (No. 123), with a = 4.781 Å, b = 4.781 Å, c = 5.669 Å, α = 90.00°, β = 90.00° and γ = 90.00°. The inequivalent atoms are La at (0.000, 0.000, 0.000), Nb at (0.500, 0.500, 0.500), Re at (0.000, 0.500, 0.000) and Te at (0.000, 0.000, 0.500).

The value obtained for the theoretical density is 9.38 g/cm³. The total DFT energy (no corrections) is -30.37 eV per formula unit.